[1]
Computed, not measured: a relaxed structure of LaErInAg at the PBE level of DFT.

Unit cell a=7.608 b=7.608 c=7.608 alpha=90.00 beta=90.00 gamma=90.00
Space group F-43m (No. 216)
Symmetry-distinct sites (fractional):
La  0.000  0.000  0.000 x4
Er  0.000  0.000  0.500 x4
In  0.250  0.250  0.750 x4
Ag  0.250  0.250  0.250 x4

- E_tot: -4.140 eV/atom
- Polymorph energy (0 for the lowest one): 30.9 meV per atom

***

[2]
Computed, not measured: a relaxed structure of CaNdGaRh at the PBE level of DFT.

Unit cell a=4.093 b=4.166 c=11.516 alpha=90.00 beta=90.00 gamma=90.00
Space group Amm2 (No. 38)
Symmetry-distinct sites (fractional):
Ca  0.000  0.000  0.000 x2
Nd  0.500  0.000  0.286 x2
Ga  0.500  0.000  0.582 x2
Rh  0.000  0.000  0.721 x2

- E_tot: -4.876 eV/atom
- Polymorph energy (0 for the lowest one): 0.0 meV per atom

***

[3]
Computed, not measured: a relaxed structure of CoGe2SN at the PBE level of DFT.

Unit cell a=4.997 b=4.997 c=3.996 alpha=90.00 beta=90.00 gamma=90.00
Space group P4/mmm (No. 123)
Symmetry-distinct sites (fractional):
Co  0.000  0.000  0.000 x1
Ge  0.000  0.500  0.500 x2
S  0.000  0.000  0.500 x1
N  0.500  0.500  0.000 x1

- E_form (uncorrected): 1.476 eV per atom
- E_tot: -4.283 eV/atom

***

[4]
Computed, not measured: a relaxed structure of MgP2Cl at the PBE level of DFT.

Unit cell a=3.511 b=5.118 c=4.731 alpha=90.00 beta=108.07 gamma=90.00
Space group P2/m (No. 10)
Symmetry-distinct sites (fractional):
Mg  0.000  0.000  0.000 x1
P  0.188  0.500  0.845 x2
Cl  0.500  0.000  0.500 x1

- E_form (uncorrected): -0.410 eV per atom
- E_tot: -3.976 eV/atom
- Polymorph energy (0 for the lowest one): 165.1 meV per atom